Here is an optimized crystal structure of YHo2N from Alexandria via LeMat-Bulk. Energies are from PBE-GGA.

Properties
**DOS(E_F)**: 11.84 states/eV per cell
**ΔE_f (raw)**: -789 meV/atom
**Energy above the lowest structure with this stoichiometry**: 0 meV per atom
**Total magnetic moment**: 0.00 μB/atom

Cell and atoms, written as CIF:
```
data_YHo2N
_chemical_formula_sum 'Y3 Ho6 N3'
_cell_length_a 3.4729
_cell_length_b 3.4729
_cell_length_c 26.8378
_cell_angle_alpha 90.00
_cell_angle_beta 90.00
_cell_angle_gamma 120.00
_symmetry_space_group_name_H-M 'R -3 m'
_symmetry_Int_Tables_number 166
_symmetry_space_group_name_Hall '-R 3 2"'
loop_
_atom_site_label
_atom_site_fract_x
_atom_site_fract_y
_atom_site_fract_z
Y1 0.0000 0.0000 0.0000
Ho1 0.0000 0.0000 0.2170
N1 0.0000 0.0000 0.5000
```

Here is an optimized crystal structure of AcDyP2 from Alexandria via LeMat-Bulk. Energies are from PBE-GGA.

Properties
**DOS(E_F)**: 0.52 states/eV per cell
**Energy above the lowest structure with this stoichiometry**: 175 meV per atom
**DFT formation energy**: -1.320 eV per atom
**Total magnetic moment**: 0.00 μB/atom

Cell and atoms, written as CIF:
```
data_AcDyP2
_chemical_formula_sum 'Ac3 Dy3 P6'
_cell_length_a 4.1685
_cell_length_b 4.1685
_cell_length_c 21.6510
_cell_angle_alpha 90.00
_cell_angle_beta 90.00
_cell_angle_gamma 120.00
_symmetry_space_group_name_H-M 'R 3 m'
_symmetry_Int_Tables_number 160
_symmetry_space_group_name_Hall 'R 3 -2"'
loop_
_atom_site_label
_atom_site_fract_x
_atom_site_fract_y
_atom_site_fract_z
Ac1 0.0000 0.0000 0.0000
Dy1 0.0000 0.0000 0.1711
P1 0.0000 0.0000 0.4272
P2 0.0000 0.0000 0.5808
```

Here is an optimized crystal structure of HAuBr3 from Alexandria via LeMat-Bulk. Energies are from PBE-GGA.

Properties
**DOS(E_F)**: 6.03 states/eV per cell
**Energy above the lowest structure with this stoichiometry**: 928 meV per atom
**Total magnetic moment**: 0.20 μB/atom

Cell and atoms, written as CIF:
```
data_HAuBr3
_chemical_formula_sum 'H1 Au1 Br3'
_cell_length_a 4.718
_cell_length_b 4.718
_cell_length_c 4.718
_cell_angle_alpha 90.00
_cell_angle_beta 90.00
_cell_angle_gamma 90.00
_symmetry_space_group_name_H-M 'P m -3 m'
_symmetry_Int_Tables_number 221
_symmetry_space_group_name_Hall '-P 4 2 3'
loop_
_atom_site_label
_atom_site_fract_x
_atom_site_fract_y
_atom_site_fract_z
H1 0.000 0.000 0.000
Au1 0.500 0.500 0.500
Br1 0.000 0.000 0.500
```